No. 1
First-principles (GGA-PBE) data for SiAgRh2 after structural relaxation, as listed in the Alexandria database.

Lattice parameters (Å, degrees): 3.8137 2.8297 11.1554 90.00 90.00 90.00
Last column: nearest neighbours and their distance in Å.
Space group Amm2 (No. 38)
Unique sites:
Si 0.0000 0.0000 0.0000 x2  5 Rh 2.31-2.47
Ag 0.5000 0.0000 0.1644 x2  2 Si 2.65, 6 Rh 2.77-2.89, 2 Ag 2.83
Rh 0.0000 0.0000 0.7926 x2  1 Si 2.31
Rh 0.5000 0.0000 0.4390 x2  4 Si 2.47

Results
The magnetization comes out at 0.0 μB per formula unit. Its density of states at the Fermi level is 0.80 states/eV per atom. Its energy relative to the elements, uncorrected is -58 kJ/mol of formula units.



No. 2
First-principles (GGA-PBE) data for Si2AgRh2 after structural relaxation, as listed in the Alexandria database.

Lattice parameters (Å, degrees): 3.6667 3.6667 11.4796 90.00 90.00 90.00
Last column: nearest neighbours and their distance in Å.
Space group I4/mmm (No. 139)
Unique sites:
Si 0.0000 0.5000 0.2500 x4  4 Rh 2.37, 4 Si 2.59
Ag 0.0000 0.0000 0.0000 x2  8 Rh 2.93
Rh 0.0000 0.0000 0.3808 x4  4 Si 2.37

Results
The calculation puts the excess energy over the best structure of this formula in the dataset at 0.075 eV/atom. The magnetization comes out at 0.0 μB per formula unit. Its density of states at the Fermi level is 0.15 states/eV per atom. Its energy relative to the elements, uncorrected is -230 kJ/mol of formula units.



No. 3
First-principles (GGA-PBE) data for SiAgRh after structural relaxation, as listed in the Alexandria database.

Lattice parameters (Å, degrees): 2.8945 3.2102 9.8587 90.00 90.00 90.00
Last column: nearest neighbours and their distance in Å.
Space group Imm2 (No. 44)
Unique sites:
Si 0.0000 0.0000 0.0000 x2  4 Rh 2.41
Ag 0.0000 0.0000 0.6857 x2  5 Si 2.83-3.10, 2 Ag 2.89, 5 Rh 2.90-2.97
Rh 0.0000 0.0000 0.3916 x2  4 Si 2.41

Results
The calculation puts the excess energy over the best structure of this formula in the dataset at 0.015 eV/atom. The magnetization comes out at 0.0 μB per formula unit. Its density of states at the Fermi level is 0.42 states/eV per atom. Its energy relative to the elements, uncorrected is -66 kJ/mol of formula units.



No. 4
First-principles (GGA-PBE) data for SiAgRh after structural relaxation, as listed in the Alexandria database.

Lattice parameters (Å, degrees): 5.7871 5.7871 5.7871 90.00 90.00 90.00
Last column: nearest neighbours and their distance in Å.
Space group F-43m (No. 216)
Unique sites:
Si 0.0000 0.0000 0.0000 x4  4 Ag 2.51, 4 Rh 2.51
Ag 0.2500 0.2500 0.2500 x4  4 Si 2.51
Rh 0.2500 0.2500 0.7500 x4  4 Si 2.51

Results
The calculation puts the excess energy over the best structure of this formula in the dataset at 0.028 eV/atom. The magnetization comes out at 0.0 μB per formula unit. Its density of states at the Fermi level is 0.24 states/eV per atom. Its energy relative to the elements, uncorrected is -62 kJ/mol of formula units.



No. 5
First-principles (GGA-PBE) data for SiAgRh2 after structural relaxation, as listed in the Alexandria database.

Lattice parameters (Å, degrees): 2.8267 4.4168 4.7622 90.00 90.00 90.00
Last column: nearest neighbours and their distance in Å.
Space group Pmmm (No. 47)
Unique sites:
Si 0.0000 0.0000 0.0000 x1  4 Rh 2.62, 4 Ag 2.77, 2 Si 2.83
Ag 0.5000 0.0000 0.5000 x1  4 Rh 2.62, 4 Si 2.77, 2 Ag 2.83
Rh 0.0000 0.5000 0.5000 x1  4 Ag 2.62, 6 Rh 2.77-2.83
Rh 0.5000 0.5000 0.0000 x1  4 Si 2.62, 6 Rh 2.77-2.83

Results
The magnetization comes out at 0.0 μB per formula unit. Its density of states at the Fermi level is 0.82 states/eV per atom. Its energy relative to the elements, uncorrected is 37 kJ/mol of formula units.



No. 6
First-principles (GGA-PBE) data for SiAgRh2 after structural relaxation, as listed in the Alexandria database.

Lattice parameters (Å, degrees): 2.8877 4.6590 8.8178 90.00 90.00 90.00
Last column: nearest neighbours and their distance in Å.
Space group Immm (No. 71)
Unique sites:
Si 0.0000 0.0000 0.0000 x2  4 Rh 2.34
Ag 0.0000 0.0000 0.5000 x2  4 Si 2.74, 2 Ag 2.89, 8 Rh 2.94-2.97
Rh 0.0000 0.5000 0.2905 x4  2 Si 2.34

Results
The magnetization comes out at 0.0 μB per formula unit. Its density of states at the Fermi level is 0.81 states/eV per atom. Its energy relative to the elements, uncorrected is -96 kJ/mol of formula units.